This record from Alexandria via LeMat-Bulk describes an optimized crystal structure of Ac3AgSn4. The functional is PBE-GGA.

## Properties
Calculated formation energy, eV per atom: -0.470
Space group: No. 71
DFT total energy, eV per atom: -4.369

Cell lengths 5.004, 6.713, 9.438 Å; angles 110.83, 105.37, 90.00 degrees
Fractional coordinates of all 8 atoms:
1 Ac 0.000 0.500 0.000
2 Sn 0.380 0.160 0.759
3 Ac 0.805 0.805 0.610
4 Sn 0.620 0.840 0.241
5 Sn 0.620 0.401 0.241
6 Sn 0.380 0.599 0.759
7 Ag 0.500 0.000 0.000
8 Ac 0.195 0.195 0.390